The following is a PBE calculation of a relaxed CdPN2F crystal, from the Alexandria database.

a = 3.5481 Å, b = 3.5481 Å, c = 4.1957 Å
α = 90.00°, β = 90.00°, γ = 90.00°
Sites, in units of the cell vectors:
Cd  0.5000  0.5000  0.5000
P  0.0000  0.0000  0.0000
N  0.0000  0.5000  0.0000
N  0.5000  0.0000  0.0000
F  0.0000  0.0000  0.5000

Calculated values
final energy	-23.86	eV per cell
SG	P4/mmm (123)
energy relative to the lowest polymorph listed for this composition	0.000	eV/atom
total moment	0.0000	μB/atom



The following is a PBE calculation of a relaxed TaTi7Bi2 crystal, from the Alexandria database.

a = 6.7824 Å, b = 6.7824 Å, c = 6.7824 Å
α = 60.00°, β = 60.00°, γ = 60.00°
Site moments in Bohr magnetons follow the coordinates.
Sites, in units of the cell vectors:
Ti  0.5000  0.5000  0.5000  0.04
Ti  0.2551  0.7449  0.2551  0.45
Ti  0.7449  0.2551  0.2551  0.45
Ti  0.2551  0.2551  0.7449  0.45
Ti  0.7449  0.2551  0.7449  0.45
Ti  0.2551  0.7449  0.7449  0.45
Ti  0.7449  0.7449  0.2551  0.45
Ta  0.0000  0.0000  0.0000  -0.03
Bi  0.7500  0.7500  0.7500  -0.04
Bi  0.2500  0.2500  0.2500  -0.04

Calculated values
final energy	-67.30	eV per cell
energy relative to the elements	17.480	kcal/mol of atoms
SG	Fm-3m (225)
total moment	0.3704	μB/atom



The following is a PBE calculation of a relaxed TlAu crystal, from the Alexandria database.

a = 6.3019 Å, b = 7.2534 Å, c = 8.8616 Å
α = 90.00°, β = 90.00°, γ = 90.00°
Sites, in units of the cell vectors:
Au  0.4756  0.4696  0.5932
Au  0.2072  0.8881  0.1407
Au  0.0244  0.5304  0.0932
Au  0.9756  0.0304  0.4068
Au  0.7072  0.6119  0.8593
Au  0.7928  0.3881  0.3593
Au  0.2928  0.1119  0.6407
Au  0.5244  0.9696  0.9068
Tl  0.6329  0.7297  0.1921
Tl  0.3646  0.3480  0.9278
Tl  0.1329  0.7703  0.8079
Tl  0.3671  0.2297  0.3079
Tl  0.8646  0.1520  0.0722
Tl  0.8671  0.2703  0.6921
Tl  0.1354  0.6520  0.4278
Tl  0.6354  0.8480  0.5722

Calculated values
final energy	-45.24	eV per cell
energy relative to the elements	-0.136	kcal/mol of atoms
SG	P2_12_12_1 (19)
total moment	0.0000	μB/atom



The following is a PBE calculation of a relaxed LaAlTe2 crystal, from the Alexandria database.

a = 4.4839 Å, b = 4.4839 Å, c = 8.1871 Å
α = 74.09°, β = 74.09°, γ = 60.01°
Sites, in units of the cell vectors:
Te  0.5006  0.5006  0.4985
Te  0.9994  0.9994  0.0015
Al  0.2500  0.2500  0.2500
La  0.7500  0.7500  0.7500

Calculated values
final energy	-18.32	eV per cell
SG	R-3m (166)
total moment	0.0000	μB/atom



Taking the records one at a time from the top gives V values of 10.564, 22.061, 25.316, 33.808 Å³/atom.